1.
Computed, not measured: crystalline NaPuHO5 at its relaxed geometry at the GGA-PBE level of DFT.

It has space group C2/c (No. 15), with a = 6.316 Å, b = 10.280 Å, c = 7.864 Å, α = 90.00°, β = 110.57° and γ = 90.00°. The distinct sites, in fractional coordinates, are Na at (0.000, 0.037, 0.250), Pu at (0.250, 0.250, 0.000), H at (0.000, 0.302, 0.250), O at (0.000, 0.196, 0.750), O at (0.017, 0.297, 0.103) and O at (0.233, 0.080, 0.073).

For the total energy, the calculation gives -7.158 eV/atom.

2.
Computed, not measured: crystalline BaMgVP2 at its relaxed geometry at the GGA-PBE level of DFT.

It has space group P4/mmm (No. 123), with a = 5.542 Å, b = 5.542 Å, c = 5.771 Å, α = 90.00°, β = 90.00° and γ = 90.00°. The distinct sites, in fractional coordinates, are Ba at (0.000, 0.000, 0.000), Mg at (0.000, 0.000, 0.500), V at (0.500, 0.500, 0.500) and P at (0.000, 0.500, 0.000).

The energy relative to the elements is 1860 meV per atom. For the total energy, the calculation gives -2.831 eV/atom.

3.
Computed, not measured: crystalline ErGaCo at its relaxed geometry at the GGA-PBE level of DFT.

It has space group Pnma (No. 62), with a = 6.656 Å, b = 4.102 Å, c = 7.589 Å, α = 90.00°, β = 90.00° and γ = 90.00°. The distinct sites, in fractional coordinates, are Er at (0.026, 0.250, 0.185), Ga at (0.155, 0.250, 0.565) and Co at (0.227, 0.750, 0.382).

The energy relative to the elements is -504 meV per atom. For the total energy, the calculation gives -5.402 eV/atom.

4.
Computed, not measured: crystalline RbPd2Pb6 at its relaxed geometry at the GGA-PBE level of DFT.

It has space group C2/m (No. 12), with a = 11.345 Å, b = 11.841 Å, c = 4.447 Å, α = 90.00°, β = 112.70° and γ = 90.00°. The distinct sites, in fractional coordinates, are Rb at (0.000, 0.000, 0.000), Pd at (0.131, 0.500, 0.632), Pb at (0.000, 0.274, 0.500) and Pb at (0.209, 0.362, 0.208).

The energy relative to the elements is -109 meV per atom. For the total energy, the calculation gives -3.843 eV/atom.

5.
Computed, not measured: crystalline SrTeSe2 at its relaxed geometry at the GGA-PBE level of DFT.

It has space group P1 (No. 1), with a = 4.351 Å, b = 7.486 Å, c = 7.824 Å, α = 89.47°, β = 73.89° and γ = 87.54°. The distinct sites, in fractional coordinates, are Sr at (0.000, 0.000, 0.000), Sr at (0.189, 0.504, 0.591), Te at (0.601, 0.055, 0.543), Te at (0.677, 0.568, 0.088), Se at (0.369, 0.835, 0.287), Se at (0.582, 0.768, 0.757), Se at (0.586, 0.272, 0.823) and Se at (0.860, 0.341, 0.306).

The formation energy without anion corrections is -3.94 eV/f.u. For the total energy, the calculation gives -3.933 eV/atom.

6.
Computed, not measured: crystalline Na4PuO4 at its relaxed geometry at the GGA-PBE level of DFT.

It has space group I-42m (No. 121), with a = 5.953 Å, b = 5.953 Å, c = 9.738 Å, α = 90.00°, β = 90.00° and γ = 90.00°. The distinct sites, in fractional coordinates, are Na at (0.000, 0.000, 0.176), Na at (0.000, 0.500, 0.000), Pu at (0.000, 0.000, 0.500) and O at (0.220, 0.220, 0.599).

As for the polymorph energy (0 for the lowest one): 236 meV per atom. The formation energy without anion corrections is -15.39 eV/f.u. For the total energy, the calculation gives -6.092 eV/atom.

7.
Computed, not measured: crystalline PmGa2Pt2Rh at its relaxed geometry at the GGA-PBE level of DFT.

It has space group I4/mmm (No. 139), with a = 3.892 Å, b = 3.892 Å, c = 19.208 Å, α = 90.00°, β = 90.00° and γ = 90.00°. The distinct sites, in fractional coordinates, are Pm at (0.000, 0.000, 0.000), Ga at (0.000, 0.000, 0.162), Pt at (0.000, 0.500, 0.250) and Rh at (0.000, 0.000, 0.500).

The energy relative to the elements is -86 meV per atom. For the total energy, the calculation gives -5.126 eV/atom.

8.
Computed, not measured: crystalline PaCr2Si2 at its relaxed geometry at the GGA-PBE level of DFT.

It has space group C2/c (No. 15), with a = 4.968 Å, b = 10.233 Å, c = 6.541 Å, α = 90.00°, β = 105.95° and γ = 90.00°. The distinct sites, in fractional coordinates, are Pa at (0.000, 0.122, 0.250), Cr at (0.132, 0.369, 0.941), Si at (0.000, 0.168, 0.750) and Si at (0.000, 0.426, 0.250).

The formation energy without anion corrections is -1.46 eV/f.u. For the total energy, the calculation gives -8.209 eV/atom.